1.
This record from the Alexandria database describes crystalline Ti2Nb3Mo6 at its relaxed geometry. The functional is PBE.

a = 2.663 Å, b = 8.803 Å, c = 8.803 Å
α = 67.34°, β = 90.00°, γ = 90.00°
Atoms (fractional coordinates):
Mo1 0.500 0.587 0.088
Mo2 0.500 0.593 0.593
Mo3 0.500 0.912 0.413
Mo4 0.500 0.407 0.407
Mo5 0.500 0.088 0.587
Mo6 0.500 0.413 0.912
Ti1 0.000 0.262 0.738
Ti2 0.000 0.738 0.262
Nb1 0.000 0.782 0.782
Nb2 0.000 0.218 0.218
Nb3 0.500 0.000 0.000

Properties
Space group ... Cmmm, No. 65
DFT formation energy ... 32.6 kJ per mole of atoms

***

2.
This record from the Alexandria database describes crystalline Ti2Nb3Mo2 at its relaxed geometry. The functional is PBE.

a = 3.236 Å, b = 5.342 Å, c = 7.361 Å
α = 80.31°, β = 90.00°, γ = 72.37°
Atoms (fractional coordinates):
Ti1 0.420 0.160 0.289
Ti2 0.580 0.840 0.711
Mo1 0.714 0.572 0.135
Mo2 0.286 0.428 0.865
Nb1 0.000 0.000 0.000
Nb2 0.146 0.708 0.417
Nb3 0.854 0.292 0.583

Properties
Space group ... C2/m, No. 12
Offset from the most stable computed form ... 0 meV/atom
DFT formation energy ... -5.9 kJ per mole of atoms

***

3.
This record from the Alexandria database describes crystalline Ti3Nb2Mo3 at its relaxed geometry. The functional is PBE.

a = 3.249 Å, b = 4.696 Å, c = 9.158 Å
α = 104.86°, β = 100.22°, γ = 90.00°
Atoms (fractional coordinates):
Ti1 0.382 0.382 0.764
Ti2 0.500 0.000 0.000
Ti3 0.618 0.618 0.236
Nb1 0.744 0.244 0.488
Nb2 0.256 0.756 0.512
Mo1 0.877 0.877 0.754
Mo2 0.123 0.123 0.246
Mo3 0.000 0.500 0.000

Properties
Space group ... Immm, No. 71
DFT formation energy ... -6.4 kJ per mole of atoms

***

4.
This record from the Alexandria database describes crystalline TiNb4Mo5 at its relaxed geometry. The functional is PBE.

a = 3.224 Å, b = 3.224 Å, c = 16.051 Å
α = 90.00°, β = 90.00°, γ = 90.00°
Atoms (fractional coordinates):
Nb1 0.000 0.000 0.601
Nb2 0.000 0.000 0.802
Nb3 0.000 0.000 0.198
Nb4 0.000 0.000 0.399
Mo1 0.500 0.500 0.701
Mo2 0.500 0.500 0.299
Mo3 0.500 0.500 0.500
Mo4 0.500 0.500 0.902
Mo5 0.500 0.500 0.098
Ti1 0.000 0.000 0.000

Properties
Space group ... P4/mmm, No. 123
DFT formation energy ... -11.3 kJ per mole of atoms